Th2SbRh after structural relaxation, computed with PBE.

```
data_Th2SbRh
_cell_length_a 3.4258
_cell_length_b 3.4258
_cell_length_c 32.0362
_cell_angle_alpha 90.00
_cell_angle_beta 90.00
_cell_angle_gamma 120.00
_space_group_name_H-M_alt 'R -3 m'
_space_group_IT_number 166
_space_group_name_Hall '-R 3 2"'
loop_
_atom_site_label
_atom_site_type_symbol
_atom_site_fract_x
_atom_site_fract_y
_atom_site_fract_z
Th1 Th 0.0000 0.0000 0.0802
Sb1 Sb 0.0000 0.0000 0.5000
Rh1 Rh 0.0000 0.0000 0.0000
```

Values from the calculation:
DOS at the Fermi energy = 4.2 states/eV/f.u.
Formation energy without anion corrections = -5.9 kJ per mole of atoms